--- 1 ---
First-principles (PBE) data for a relaxed LaNd2Dy4 crystal, as listed in the Alexandria database.

Lattice parameters (Å, degrees): 5.602 5.602 17.057 90.00 90.00 90.00
Space group I4/mmm (No. 139)
Inequivalent atoms, fractional coordinates:
La1 0.000 0.000 0.000 x2
Nd1 0.000 0.000 0.380 x4
Dy1 0.000 0.000 0.177 x4
Dy2 0.000 0.500 0.000 x4

Results
Mass density = 6.69 g/cm3
Magnetization = 0.00 μB per formula unit

***

--- 2 ---
First-principles (PBE) data for a relaxed LaNd2Dy4 crystal, as listed in the Alexandria database.

Lattice parameters (Å, degrees): 11.084 11.083 8.144 90.00 90.33 90.00
Space group C2/m (No. 12)
Inequivalent atoms, fractional coordinates:
La1 0.000 0.000 0.000 x2
La2 0.000 0.000 0.500 x2
Nd1 0.000 0.500 0.000 x2
Nd2 0.000 0.500 0.500 x2
Nd3 0.250 0.250 0.000 x4
Dy1 0.002 0.252 0.280 x8
Dy2 0.248 0.500 0.720 x4
Dy3 0.249 0.500 0.280 x4

Results
Mass density = 7.15 g/cm3
Magnetization = 0.54 μB per formula unit

***

Relative to the most stable one, in meV per atom, the structures come out at 1 318; 2 0.

***

--- 1 ---
First-principles (PBE) data for a relaxed La2Nd2Dy3 crystal, as listed in the Alexandria database.

Lattice parameters (Å, degrees): 17.225 3.526 8.893 90.00 116.81 90.00
Space group C2/m (No. 12)
Inequivalent atoms, fractional coordinates:
La1 0.080 0.000 0.208 x4
Nd1 0.140 0.500 0.906 x4
Dy1 0.000 0.000 0.500 x2
Dy2 0.220 0.000 0.644 x4

Results
Mass density = 7.26 g/cm3
Magnetization = 0.00 μB per formula unit

***

--- 2 ---
First-principles (PBE) data for a relaxed La2Nd2Dy3 crystal, as listed in the Alexandria database.

Lattice parameters (Å, degrees): 6.283 6.317 12.644 99.72 99.72 99.45
Space group P-1 (No. 2)
Inequivalent atoms, fractional coordinates:
La1 0.069 0.142 0.140 x2
La2 0.073 0.142 0.644 x2
Nd1 0.217 0.429 0.429 x2
Nd2 0.358 0.715 0.212 x2
Dy1 0.218 0.431 0.930 x2
Dy2 0.359 0.714 0.715 x2
Dy3 0.500 0.000 0.000 x1
Dy4 0.500 0.000 0.500 x1

Results
Mass density = 7.32 g/cm3
Magnetization = 0.00 μB per formula unit

***

Relative to the most stable one, in meV per atom, the structures come out at 1 106; 2 0.

***

--- 1 ---
First-principles (PBE) data for a relaxed La3Nd3Dy crystal, as listed in the Alexandria database.

Lattice parameters (Å, degrees): 8.9262 8.9262 22.0650 90.00 90.00 120.00
Space group R-3 (No. 148, hexagonal axes)
Inequivalent atoms, fractional coordinates:
La1 0.0030 0.2471 0.0569 x18
Nd1 0.0528 0.4483 0.8810 x18
Dy1 0.0000 0.0000 0.3494 x6

Results
Mass density = 6.62 g/cm3
Magnetization = 0.00 μB per formula unit

***

--- 2 ---
First-principles (PBE) data for a relaxed La3Nd3Dy crystal, as listed in the Alexandria database.

Lattice parameters (Å, degrees): 9.8828 9.8828 5.9456 90.00 90.00 120.00
Space group P6_3/m (No. 176)
Inequivalent atoms, fractional coordinates:
La1 0.0477 0.2424 0.2500 x6
Nd1 0.0954 0.4803 0.7500 x6
Dy1 0.3333 0.6667 0.2500 x2

Results
Mass density = 6.68 g/cm3
Magnetization = 0.00 μB per formula unit

***

Relative to the most stable one, in meV per atom, the structures come out at 1 184; 2 0.

***

--- 1 ---
First-principles (PBE) data for a relaxed La3NdDy7 crystal, as listed in the Alexandria database.

Lattice parameters (Å, degrees): 11.732 10.133 6.436 90.00 94.54 90.00
Space group C2/m (No. 12)
Inequivalent atoms, fractional coordinates:
La1 0.000 0.000 0.000 x2
La2 0.000 0.179 0.500 x4
Nd1 0.000 0.500 0.000 x2
Dy1 0.000 0.500 0.500 x2
Dy2 0.239 0.000 0.708 x4
Dy3 0.242 0.330 0.763 x8

Results
Mass density = 7.40 g/cm3
Magnetization = 0.00 μB per formula unit

***

--- 2 ---
First-principles (PBE) data for a relaxed La3NdDy7 crystal, as listed in the Alexandria database.

Lattice parameters (Å, degrees): 5.905 11.313 11.326 90.00 90.00 90.00
Space group Immm (No. 71)
Inequivalent atoms, fractional coordinates:
La1 0.000 0.000 0.000 x2
La2 0.000 0.500 0.286 x4
Nd1 0.000 0.000 0.500 x2
Dy1 0.000 0.208 0.196 x8
Dy2 0.000 0.294 0.500 x4
Dy3 0.000 0.500 0.000 x2

Results
Mass density = 7.45 g/cm3
Magnetization = 0.00 μB per formula unit

***

Relative to the most stable one, in meV per atom, the structures come out at 1 0; 2 42.

***

--- 1 ---
First-principles (PBE) data for a relaxed La2Nd3Dy4 crystal, as listed in the Alexandria database.

Lattice parameters (Å, degrees): 3.6346 3.6346 27.0500 90.00 90.00 120.00
Space group P3m1 (No. 156)
Inequivalent atoms, fractional coordinates:
La1 0.0000 0.0000 0.0000 x1
La2 0.0000 0.0000 0.2289 x1
Nd1 0.0000 0.0000 0.7829 x1
Nd2 0.3333 0.6667 0.1176 x1
Nd3 0.3333 0.6667 0.4608 x1
Dy1 0.0000 0.0000 0.3556 x1
Dy2 0.0000 0.0000 0.5714 x1
Dy3 0.3333 0.6667 0.6742 x1
Dy4 0.3333 0.6667 0.8908 x1

Results
Mass density = 7.30 g/cm3
Magnetization = 0.00 μB per formula unit

***

--- 2 ---
First-principles (PBE) data for a relaxed La2Nd3Dy4 crystal, as listed in the Alexandria database.

Lattice parameters (Å, degrees): 16.957 5.849 6.534 90.00 107.47 90.00
Space group C2/m (No. 12)
Inequivalent atoms, fractional coordinates:
La1 0.141 0.000 0.297 x4
Nd1 0.000 0.500 0.000 x2
Nd2 0.126 0.500 0.587 x4
Dy1 0.065 0.000 0.751 x4
Dy2 0.228 0.500 0.143 x4

Results
Mass density = 7.31 g/cm3
Magnetization = 0.00 μB per formula unit

***

Relative to the most stable one, in meV per atom, the structures come out at 1 0; 2 38.

***

--- 1 ---
First-principles (PBE) data for a relaxed La5NdDy3 crystal, as listed in the Alexandria database.

Lattice parameters (Å, degrees): 8.803 8.803 16.466 90.00 90.00 90.00
Space group I4/mcm (No. 140)
Inequivalent atoms, fractional coordinates:
La1 0.000 0.000 0.000 x4
La2 0.197 0.303 0.140 x16
Nd1 0.000 0.500 0.250 x4
Dy1 0.000 0.000 0.250 x4
Dy2 0.121 0.379 0.500 x8

Results
Mass density = 6.90 g/cm3
Magnetization = 0.00 μB per formula unit

***

--- 2 ---
First-principles (PBE) data for a relaxed La5NdDy3 crystal, as listed in the Alexandria database.

Lattice parameters (Å, degrees): 19.018 6.612 11.487 90.00 115.04 90.00
Space group C2/c (No. 15)
Inequivalent atoms, fractional coordinates:
La1 0.000 0.096 0.250 x4
La2 0.169 0.195 0.713 x8
La3 0.170 0.326 0.361 x8
Nd1 0.000 0.363 0.750 x4
Dy1 0.000 0.500 0.000 x4
Dy2 0.160 0.208 0.015 x8

Results
Mass density = 6.73 g/cm3
Magnetization = 0.00 μB per formula unit

***

Relative to the most stable one, in meV per atom, the structures come out at 1 27; 2 0.

***

--- 1 ---
First-principles (PBE) data for a relaxed La12Nd6Dy crystal, as listed in the Alexandria database.

Lattice parameters (Å, degrees): 15.4611 15.4611 9.9988 90.00 90.00 120.00
Space group R-3m (No. 166, hexagonal axes)
Inequivalent atoms, fractional coordinates:
La1 0.0000 0.2833 0.0000 x18
La2 0.0799 0.1597 0.8097 x18
Nd1 0.0848 0.5424 0.1108 x18
Dy1 0.0000 0.0000 0.5000 x3

Results
Mass density = 6.49 g/cm3
Magnetization = 0.00 μB per formula unit

***

--- 2 ---
First-principles (PBE) data for a relaxed La12Nd6Dy crystal, as listed in the Alexandria database.

Lattice parameters (Å, degrees): 12.4473 12.4473 15.5511 90.00 90.00 120.00
Space group R-3 (No. 148, hexagonal axes)
Inequivalent atoms, fractional coordinates:
La1 0.0011 0.8294 0.1903 x18
La2 0.0479 0.8488 0.4169 x18
Nd1 0.0155 0.4255 0.6874 x18
Dy1 0.0000 0.0000 0.0000 x3

Results
Mass density = 6.43 g/cm3
Magnetization = 0.00 μB per formula unit

***

Relative to the most stable one, in meV per atom, the structures come out at 1 54; 2 0.

***

--- 1 ---
First-principles (PBE) data for a relaxed La2Nd2Dy5 crystal, as listed in the Alexandria database.

Lattice parameters (Å, degrees): 17.801 3.508 9.918 90.00 98.61 90.00
Space group C2/m (No. 12)
Inequivalent atoms, fractional coordinates:
La1 0.165 0.000 0.220 x4
Nd1 0.005 0.500 0.688 x4
Dy1 0.000 0.000 0.000 x2
Dy2 0.171 0.500 0.541 x4
Dy3 0.173 0.000 0.864 x4

Results
Mass density = 7.48 g/cm3
Magnetization = 0.00 μB per formula unit

***

--- 2 ---
First-principles (PBE) data for a relaxed La2Nd2Dy5 crystal, as listed in the Alexandria database.

Lattice parameters (Å, degrees): 15.091 12.045 6.780 90.00 90.00 90.00
Space group Ima2 (No. 46)
Inequivalent atoms, fractional coordinates:
La1 0.127 0.002 0.000 x8
Nd1 0.000 0.000 0.540 x4
Nd2 0.250 0.006 0.460 x4
Dy1 0.053 0.746 0.858 x8
Dy2 0.143 0.231 0.672 x8
Dy3 0.250 0.739 0.648 x4

Results
Mass density = 7.43 g/cm3
Magnetization = 0.00 μB per formula unit

***

Relative to the most stable one, in meV per atom, the structures come out at 1 0; 2 51.

***

--- 1 ---
First-principles (PBE) data for a relaxed LaNd3Dy6 crystal, as listed in the Alexandria database.

Lattice parameters (Å, degrees): 9.9761 9.9761 11.7092 90.00 90.00 120.00
Space group R32 (No. 155, hexagonal axes)
Inequivalent atoms, fractional coordinates:
La1 0.0000 0.0000 0.0000 x3
Nd1 0.0000 0.0000 0.2501 x6
Nd2 0.0000 0.0000 0.5000 x3
Dy1 0.0000 0.3280 0.0000 x9
Dy2 0.0000 0.6750 0.5000 x9

Results
Mass density = 7.63 g/cm3
Magnetization = 0.02 μB per formula unit

***

--- 2 ---
First-principles (PBE) data for a relaxed LaNd3Dy6 crystal, as listed in the Alexandria database.

Lattice parameters (Å, degrees): 13.628 14.470 6.944 90.00 90.00 90.00
Space group Cmc2_1 (No. 36)
Inequivalent atoms, fractional coordinates:
La1 0.000 0.191 0.000 x4
Nd1 0.000 0.400 0.815 x4
Nd2 0.208 0.035 0.536 x8
Dy1 0.000 0.010 0.275 x4
Dy2 0.000 0.212 0.512 x4
Dy3 0.116 0.396 0.325 x8
Dy4 0.236 0.289 0.715 x8

Results
Mass density = 7.50 g/cm3
Magnetization = 0.00 μB per formula unit

***

Relative to the most stable one, in meV per atom, the structures come out at 1 76; 2 0.

***

--- 1 ---
First-principles (PBE) data for a relaxed La6Nd2Dy crystal, as listed in the Alexandria database.

Lattice parameters (Å, degrees): 9.608 18.154 3.704 90.00 90.00 90.00
Space group Cmmm (No. 65)
Inequivalent atoms, fractional coordinates:
La1 0.172 0.164 0.000 x8
La2 0.180 0.000 0.500 x4
Nd1 0.000 0.327 0.500 x4
Dy1 0.000 0.500 0.000 x2

Results
Mass density = 6.60 g/cm3
Magnetization = 0.00 μB per formula unit

***

--- 2 ---
First-principles (PBE) data for a relaxed La6Nd2Dy crystal, as listed in the Alexandria database.

Lattice parameters (Å, degrees): 3.6842 3.6842 27.7399 90.00 90.00 120.00
Space group P-6m2 (No. 187)
Inequivalent atoms, fractional coordinates:
La1 0.0000 0.0000 0.0621 x2
La2 0.0000 0.0000 0.2814 x2
La3 0.3333 0.6667 0.3949 x2
Nd1 0.3333 0.6667 0.1700 x2
Dy1 0.0000 0.0000 0.5000 x1

Results
Mass density = 6.54 g/cm3
Magnetization = 0.00 μB per formula unit

***

Relative to the most stable one, in meV per atom, the structures come out at 1 59; 2 0.